Record 1
TiCo2Pd: relaxed, PBE.

Cell and atoms, written as POSCAR:
```
TiCo2Pd
1.0
0.000 2.971 2.971
2.971 0.000 2.971
2.971 2.971 0.000
Pd Co Ti
1 2 1
Direct
0.500 0.500 0.500
0.250 0.250 0.250
0.750 0.750 0.750
0.000 0.000 0.000
```

Computed properties:
- energy of formation (meV/atom) = -143


Record 2
Co2NiOs: relaxed, PBE.

Cell and atoms, written as POSCAR:
```
Co2NiOs
1.0
2.592 0.000 0.000
0.000 2.592 0.000
0.000 0.000 7.057
Ni Co Os
1 2 1
Direct
0.000 0.000 0.490
0.000 0.000 0.010
0.500 0.500 0.246
0.500 0.500 0.754
```

Computed properties:
- offset from the most stable computed form (meV per atom) = 37
- energy of formation (meV/atom) = 150


Record 3
CaY3Ho2Bi6: relaxed, PBE.

Cell and atoms, written as POSCAR:
```
CaY3Ho2Bi6
1.0
4.490 0.000 0.000
0.000 9.006 0.326
-2.245 -2.590 9.458
Bi Ho Y Ca
6 2 3 1
Direct
0.669 0.087 0.338
0.999 0.744 0.998
0.001 0.256 0.002
0.333 0.417 0.665
0.331 0.913 0.662
0.667 0.583 0.335
0.834 0.667 0.667
0.166 0.333 0.333
0.835 0.166 0.670
0.165 0.834 0.330
0.500 0.500 0.000
0.500 0.000 0.000
```

Computed properties:
- energy of formation (meV/atom) = -839


Record-wise DFT total energy values, in eV per atom: -6.968; -7.656; -5.326